This record from the Alexandria database describes Ho2CuSe after structural relaxation. The functional is PBE.

```
Ho2CuSe
1.0
3.923 0.000 0.000
1.961 3.397 0.000
1.961 1.132 7.051
Cu Ho Se
1 2 1
Cartesian
3.923 2.265 3.525 Cu
1.961 1.132 1.809 Ho
5.884 3.397 5.241 Ho
0.000 0.000 0.000 Se
```

Results
M_tot   0.000 μB/f.u.
Offset from the most stable computed form   82.9 meV per atom
Symmetry   R-3m (166)
Energy relative to the elements, uncorrected   -0.925 eV per atom
Raw total energy   -5.1091 eV/atom

=====

This record from the Alexandria database describes Tl2HgIr after structural relaxation. The functional is PBE.

```
Tl2HgIr
1.0
5.441 0.027 0.000
1.812 5.131 0.000
-3.626 -2.579 3.131
Hg Ir Tl
1 1 2
Cartesian
3.626 2.579 0.000 Hg
2.721 0.014 1.566 Ir
0.000 0.000 0.000 Tl
0.906 2.565 1.566 Tl
```

Results
M_tot   0.000 μB/f.u.
Offset from the most stable computed form   294.9 meV per atom
Symmetry   I-4m2 (119)
Raw total energy   -2.9321 eV/atom

=====

This record from the Alexandria database describes K2LiRh after structural relaxation. The functional is PBE.

```
K2LiRh
1.0
12.022 0.000 0.000
11.557 3.312 0.000
11.557 1.624 2.887
K Li Rh
2 1 1
Cartesian
0.520 0.073 0.043 K
17.048 2.395 1.401 K
8.784 1.234 0.722 Li
26.353 3.702 2.165 Rh
```

Results
M_tot   0.524 μB/f.u.
Symmetry   R-3m (166)
Raw total energy   -2.2336 eV/atom

=====

This record from the Alexandria database describes Sr2AsSeF after structural relaxation. The functional is PBE.

```
Sr2AsSeF
1.0
-4.106 0.208 4.241
3.006 -0.839 2.951
0.971 5.789 0.657
Sr As Se F
2 1 1 1
Cartesian
0.486 2.895 0.328 Sr
-2.053 0.104 2.121 Sr
0.000 0.000 0.000 As
-0.064 2.579 3.925 Se
1.503 -0.420 1.476 F
```

Results
M_tot   0.000 μB/f.u.
Symmetry   P4/mmm (123)
Energy relative to the elements, uncorrected   -1.394 eV per atom
Raw total energy   -4.0675 eV/atom

=====

This record from the Alexandria database describes Pm2CoIr after structural relaxation. The functional is PBE.

```
Pm2CoIr
1.0
3.542 0.000 0.000
0.000 4.909 0.000
0.000 0.000 4.909
Ir Co Pm
1 1 2
Cartesian
1.771 0.000 0.000 Ir
1.771 2.454 2.454 Co
0.000 0.000 2.454 Pm
0.000 2.454 0.000 Pm
```

Results
M_tot   0.712 μB/f.u.
Offset from the most stable computed form   94.7 meV per atom
Symmetry   P4/mmm (123)
Raw total energy   -6.6730 eV/atom

=====

This record from the Alexandria database describes PWN2 after structural relaxation. The functional is PBE.

```
PWN2
1.0
1.664 0.000 6.163
-0.832 1.441 6.163
-0.832 -1.441 6.163
P W N
1 1 2
Cartesian
0.000 0.000 0.000 P
0.000 0.000 9.245 W
0.000 0.000 16.707 N
0.000 0.000 1.783 N
```

Results
M_tot   0.000 μB/f.u.
Offset from the most stable computed form   0.0 meV per atom
Symmetry   R-3m (166)
Energy relative to the elements, uncorrected   0.091 eV per atom
Raw total energy   -8.6625 eV/atom

=====

This record from the Alexandria database describes InMo2Ru after structural relaxation. The functional is PBE.

```
InMo2Ru
1.0
9.426 0.009 0.005
8.983 2.857 0.005
8.983 1.399 2.491
In Mo Ru
1 2 1
Cartesian
20.611 3.209 1.883 In
27.321 4.254 2.496 Mo
6.720 1.046 0.614 Mo
13.829 2.153 1.263 Ru
```

Results
M_tot   0.270 μB/f.u.
Symmetry   R3m (160)
Raw total energy   -8.1005 eV/atom

=====

This record from the Alexandria database describes SbPOs2C after structural relaxation. The functional is PBE.

```
SbPOs2C
1.0
-2.486 3.137 -0.185
-1.942 -1.792 -4.283
-2.735 -2.044 2.096
Sb C Os P
1 1 2 1
Cartesian
-0.971 -0.896 -2.142 Sb
0.000 0.000 0.000 C
-1.368 -1.022 1.048 Os
-1.243 1.568 -0.093 Os
-3.582 -0.350 -1.186 P
```

Results
M_tot   0.000 μB/f.u.
Offset from the most stable computed form   0.0 meV per atom
Symmetry   P4/mmm (123)
Energy relative to the elements, uncorrected   1.158 eV per atom
Raw total energy   -7.0853 eV/atom

=====

This record from the Alexandria database describes Pa2Tl4S5 after structural relaxation. The functional is PBE.

```
Pa2Tl4S5
1.0
3.984 0.000 0.000
1.992 3.450 0.000
1.992 1.150 23.524
Pa Tl S
2 4 5
Cartesian
1.992 1.150 13.264 Pa
5.975 3.450 10.260 Pa
5.975 3.450 22.075 Tl
3.984 2.300 5.621 Tl
3.984 2.300 17.903 Tl
1.992 1.150 1.448 Tl
5.975 3.450 14.752 S
3.984 2.300 2.984 S
3.984 2.300 11.762 S
3.984 2.300 20.540 S
1.992 1.150 8.772 S
```

Results
M_tot   0.000 μB/f.u.
Symmetry   R-3m (166)
Energy relative to the elements, uncorrected   -0.805 eV per atom
Raw total energy   -5.2683 eV/atom

=====

This record from the Alexandria database describes Ho2Tl5I12 after structural relaxation. The functional is PBE.

```
Ho2Tl5I12
1.0
-5.420 6.514 -2.540
-4.811 -8.935 2.757
2.405 5.626 9.298
Ho Tl I
2 5 12
Cartesian
-4.049 4.867 -1.898 Ho
-1.370 1.647 -0.642 Ho
-2.690 0.372 6.694 Tl
-4.346 -2.610 2.581 Tl
1.203 2.813 4.649 Tl
-3.479 5.815 6.933 Tl
-5.135 2.834 2.821 Tl
0.385 1.012 1.774 I
-1.536 -0.218 10.102 I
-4.133 2.904 8.885 I
-3.162 -3.328 5.836 I
-5.844 -0.104 4.579 I
-5.470 -1.073 8.921 I
-2.355 4.279 0.594 I
-4.664 6.534 3.679 I
-1.981 3.310 4.936 I
-6.289 3.423 -0.587 I
-3.692 0.302 0.629 I
-8.210 2.194 7.741 I
```

Results
M_tot   0.000 μB/f.u.
Symmetry   C2/m (12)
Energy relative to the elements, uncorrected   -0.886 eV per atom
Raw total energy   -2.9698 eV/atom

=====

This record from the Alexandria database describes MgPa2Nb after structural relaxation. The functional is PBE.

```
MgPa2Nb
1.0
3.054 0.000 0.000
1.527 2.645 0.000
1.527 0.882 11.872
Nb Pa Mg
1 2 1
Cartesian
3.054 1.763 5.936 Nb
1.527 0.882 8.619 Pa
4.581 2.645 3.253 Pa
0.000 0.000 0.000 Mg
```

Results
M_tot   0.000 μB/f.u.
Symmetry   R-3m (166)
Raw total energy   -7.3478 eV/atom

=====

This record from the Alexandria database describes Cd2ReSi after structural relaxation. The functional is PBE.

```
Cd2ReSi
1.0
-3.269 -8.702 2.078
-0.346 -9.183 2.506
-2.011 -8.031 4.710
Cd Re Si
2 1 1
Cartesian
-0.038 -0.176 0.063 Cd
-1.365 -6.285 2.254 Cd
-2.754 -12.683 4.548 Re
-4.283 -19.730 7.075 Si
```

Results
M_tot   0.000 μB/f.u.
Symmetry   R3m (160)
Energy relative to the elements, uncorrected   0.267 eV per atom
Raw total energy   -4.6582 eV/atom

=====

This record from the Alexandria database describes LaCd2Au after structural relaxation. The functional is PBE.

```
LaCd2Au
1.0
4.327 0.000 0.000
0.000 3.653 0.021
0.000 1.857 6.611
Cd Au La
2 1 1
Cartesian
0.000 2.978 0.133 Cd
2.164 1.158 1.420 Cd
2.164 4.800 4.836 Au
0.000 2.982 3.579 La
```

Results
M_tot   0.000 μB/f.u.
Symmetry   Pm (6)
Raw total energy   -2.9065 eV/atom

=====

This record from the Alexandria database describes NdTmGaSi after structural relaxation. The functional is PBE.

```
NdTmGaSi
1.0
-3.005 2.130 2.316
0.203 -2.797 2.837
5.429 1.756 1.342
Nd Tm Ga Si
1 1 1 1
Cartesian
1.123 0.807 0.715 Nd
1.442 1.709 4.387 Tm
-0.840 0.069 2.933 Ga
3.326 2.390 2.118 Si
```

Results
M_tot   0.002 μB/f.u.
Symmetry   Amm2 (38)
Energy relative to the elements, uncorrected   -0.705 eV per atom
Raw total energy   -5.1270 eV/atom

=====

This record from the Alexandria database describes Zn2CoMo after structural relaxation. The functional is PBE.

```
Zn2CoMo
1.0
-3.347 8.170 1.975
-5.527 7.120 0.777
-5.080 6.669 3.401
Co Mo Zn
1 1 2
Cartesian
-6.987 10.995 3.081 Co
-3.395 5.342 1.497 Mo
-13.943 21.941 6.148 Zn
-10.562 16.620 4.657 Zn
```

Results
M_tot   0.681 μB/f.u.
Offset from the most stable computed form   115.6 meV per atom
Symmetry   R3m (160)
Raw total energy   -5.0079 eV/atom